[1]
Here is an optimized crystal structure of HoZrCdPt from the Alexandria database. Energies are from PBE.

Total moment   0.000 Bohr magnetons per cell
Density   10852 kg/m³
SG   F-43m (216)
ΔH_f (0 K)   -0.53 eV per atom
Calculated volume   21.561 A^3/atom
N(E_F)   4.7 states/eV/cell

```
4
Lattice="0.000 3.507 3.507 3.507 0.000 3.507 3.507 3.507 0.000" Properties=species:S:1:pos:R:3 pbc="T T T"
Ho 0.000 0.000 0.000
Zr 3.507 3.507 3.507
Cd 1.753 1.753 1.753
Pt 5.260 5.260 5.260
```



[2]
Here is an optimized crystal structure of HoPuCd from the Alexandria database. Energies are from PBE.

Total moment   6.253 Bohr magnetons per cell
Density   10628 kg/m³
SG   I4mm (107)
Excess energy over the best structure of this formula in the dataset   0.005 eV/atom
ΔH_f (0 K)   -0.02 eV per atom
Calculated volume   27.153 A^3/atom
N(E_F)   7.7 states/eV/cell

```
3
Lattice="-1.705 1.705 7.002 1.705 -1.705 7.002 1.705 1.705 -7.002" Properties=species:S:1:pos:R:3 pbc="T T T"
Ho 0.000 0.000 0.000
Pu 0.000 0.000 4.469
Cd 0.000 0.000 9.169
```



[3]
Here is an optimized crystal structure of HoPuCd2 from the Alexandria database. Energies are from PBE.

Total moment   6.180 Bohr magnetons per cell
Density   9929 kg/m³
SG   P4/mmm (123)
Excess energy over the best structure of this formula in the dataset   0.002 eV/atom
ΔH_f (0 K)   -0.12 eV per atom
Calculated volume   26.497 A^3/atom
N(E_F)   9.4 states/eV/cell

```
4
Lattice="5.386 0.000 0.000 0.000 5.386 0.000 0.000 0.000 3.653" Properties=species:S:1:pos:R:3 pbc="T T T"
Ho 0.000 0.000 0.000
Pu 2.693 2.693 0.000
Cd 0.000 2.693 1.827
Cd 2.693 0.000 1.827
```



[4]
Here is an optimized crystal structure of Ho4PuCd5 from the Alexandria database. Energies are from PBE.

Total moment   6.104 Bohr magnetons per cell
Density   9324 kg/m³
SG   P4/mmm (123)
ΔH_f (0 K)   -0.24 eV per atom
Calculated volume   26.106 A^3/atom
N(E_F)   15.1 states/eV/cell

```
10
Lattice="3.721 0.000 0.000 0.000 3.721 0.000 0.000 0.000 18.852" Properties=species:S:1:pos:R:3 pbc="T T T"
Ho 0.000 0.000 1.868
Ho 0.000 0.000 5.601
Ho 0.000 0.000 13.251
Ho 0.000 0.000 16.984
Pu 0.000 0.000 9.426
Cd 1.861 1.861 0.000
Cd 1.861 1.861 3.736
Cd 1.861 1.861 7.403
Cd 1.861 1.861 11.449
Cd 1.861 1.861 15.116
```



[5]
Here is an optimized crystal structure of HoPuCd from the Alexandria database. Energies are from PBE.

Total moment   6.002 Bohr magnetons per cell
Density   10870 kg/m³
SG   P3m1 (156)
Excess energy over the best structure of this formula in the dataset   0.070 eV/atom
ΔH_f (0 K)   0.05 eV per atom
Calculated volume   26.547 A^3/atom
N(E_F)   8.2 states/eV/cell

```
3
Lattice="5.350 0.000 0.000 -2.675 4.633 0.000 0.000 0.000 3.213" Properties=species:S:1:pos:R:3 pbc="T T T"
Ho 0.000 0.000 0.000
Pu 2.675 1.544 1.924
Cd 0.000 3.089 0.938
```



[6]
Here is an optimized crystal structure of HoPu2Cd6 from the Alexandria database. Energies are from PBE.

Total moment   11.805 Bohr magnetons per cell
Density   10105 kg/m³
SG   R-3m (166)
ΔH_f (0 K)   -0.15 eV per atom
Calculated volume   24.236 A^3/atom
N(E_F)   20.9 states/eV/cell

```
9
Lattice="4.409 2.546 3.239 -4.409 2.546 3.239 0.000 -5.091 3.239" Properties=species:S:1:pos:R:3 pbc="T T T"
Ho 0.000 0.000 0.000
Pu 0.000 0.000 3.327
Pu 0.000 0.000 6.390
Cd -1.480 -2.564 4.858
Cd -2.961 0.000 4.858
Cd 1.480 -2.564 4.858
Cd -1.480 2.564 4.858
Cd 2.961 0.000 4.858
Cd 1.480 2.564 4.858
```